[1]
A relaxed structure of KAg2Pt. Source: the Alexandria database, functional GGA-PBE.

total magnetic moment	0.0	μB/cell
space group	P4/mmm, No. 123
energy relative to the elements	183	meV/atom

a b c (Å): 3.4368 3.4368 7.7311
angles (deg): 90.00 90.00 90.00
Last column: nearest neighbours and their distance in Å.
Sites, in units of the cell vectors:
1 K 0.0000 0.0000 0.0000  4 K 3.44, 8 Ag 3.45
2 Ag 0.5000 0.5000 0.3171  4 Pt 2.81, 1 Ag 2.83
3 Ag 0.5000 0.5000 0.6829  4 Pt 2.81, 1 Ag 2.83
4 Pt 0.0000 0.0000 0.5000  8 Ag 2.81



[2]
A relaxed structure of KAgPt. Source: the Alexandria database, functional GGA-PBE.

total magnetic moment	0.0	μB/cell
space group	I4mm, No. 107
energy relative to the elements	237	meV/atom

a b c (Å): 7.6891 7.6891 7.6891
angles (deg): 157.84 157.84 31.54
Last column: nearest neighbours and their distance in Å.
Sites, in units of the cell vectors:
1 K 0.0000 0.0000 0.0000  4 K 2.95, 4 Pt 3.25
2 Ag 0.3028 0.3028 0.0000  4 Pt 2.88, 4 Ag 2.95
3 Pt 0.6686 0.6686 0.0000  4 Ag 2.88, 4 Pt 2.95



[3]
A relaxed structure of K2Ag5Pt5. Source: the Alexandria database, functional GGA-PBE.

total magnetic moment	0.0	μB/cell
space group	Pmmm, No. 47
energy relative to the elements	-50	meV/atom

a b c (Å): 4.6421 5.4633 9.6983
angles (deg): 90.00 90.00 90.00
Last column: nearest neighbours and their distance in Å.
Sites, in units of the cell vectors:
1 K 0.0000 0.0000 0.0000  6 Ag 3.13-3.17
2 K 0.0000 0.5000 0.5000  10 Ag 3.23-3.58
3 Ag 0.0000 0.0000 0.3222  4 Pt 2.80, 4 Ag 2.89-3.12, 1 K 3.13
4 Ag 0.0000 0.0000 0.6778  4 Pt 2.80, 4 Ag 2.89-3.12, 1 K 3.13
5 Ag 0.0000 0.5000 0.1666  6 Pt 2.79-2.83, 2 Ag 3.12
6 Ag 0.0000 0.5000 0.8334  6 Pt 2.79-2.83, 2 Ag 3.12
7 Ag 0.5000 0.0000 0.5000  4 Pt 2.86, 4 Ag 2.89
8 Pt 0.5000 0.2468 0.2398  3 Pt 2.70-2.77, 5 Ag 2.79-2.86
9 Pt 0.5000 0.2468 0.7602  3 Pt 2.70-2.77, 5 Ag 2.79-2.86
10 Pt 0.5000 0.5000 0.0000  4 Pt 2.71, 4 Ag 2.83
11 Pt 0.5000 0.7532 0.2398  3 Pt 2.70-2.77, 5 Ag 2.79-2.86
12 Pt 0.5000 0.7532 0.7602  3 Pt 2.70-2.77, 5 Ag 2.79-2.86



[4]
A relaxed structure of KAg2Pt. Source: the Alexandria database, functional GGA-PBE.

total magnetic moment	0.0	μB/cell
space group	Pmmm, No. 47
energy relative to the elements	279	meV/atom

a b c (Å): 2.8916 5.3308 5.3701
angles (deg): 90.00 90.00 90.00
Last column: nearest neighbours and their distance in Å.
Sites, in units of the cell vectors:
1 K 0.0000 0.0000 0.0000  2 K 2.89, 4 Ag 3.03, 4 Pt 3.05
2 Ag 0.0000 0.5000 0.5000  6 Ag 2.89-3.05, 4 Pt 3.03
3 Ag 0.5000 0.5000 0.0000  6 Ag 2.89-3.05, 4 K 3.03
4 Pt 0.5000 0.0000 0.5000  2 Pt 2.89, 4 Ag 3.03, 4 K 3.05



total magnetic moment of number 2 (KAgPt)? 0.0 μB/cell